No. 1
# Ca2ZrCr, relaxed, DFT PBE
# calculated total energy	-4.977	eV/atom
# calculated volume	210.29	Å³/cell
# ΔE_f	0.566	eV per atom
data_Ca2ZrCr
_cell_length_a 3.634
_cell_length_b 5.190
_cell_length_c 11.149
_cell_angle_alpha 90.00
_cell_angle_beta 90.00
_cell_angle_gamma 90.00
_space_group_name_H-M_alt 'I m m m'
_space_group_IT_number 71
_space_group_name_Hall '-I 2 2'
loop_
_atom_site_label
_atom_site_type_symbol
_atom_site_fract_x
_atom_site_fract_y
_atom_site_fract_z
Ca1 Ca 0.000 0.000 0.218
Zr1 Zr 0.000 0.500 0.000
Cr1 Cr 0.000 0.500 0.500

No. 2
# CaZrCr4, relaxed, DFT PBE
# calculated total energy	-7.735	eV/atom
# calculated volume	378.98	Å³/cell
# ΔE_f	0.439	eV per atom
data_CaZrCr4
_cell_length_a 7.237
_cell_length_b 7.237
_cell_length_c 7.237
_cell_angle_alpha 90.00
_cell_angle_beta 90.00
_cell_angle_gamma 90.00
_space_group_name_H-M_alt 'F -4 3 m'
_space_group_IT_number 216
_space_group_name_Hall 'F -4 2 3'
loop_
_atom_site_label
_atom_site_type_symbol
_atom_site_fract_x
_atom_site_fract_y
_atom_site_fract_z
Ca1 Ca 0.000 0.000 0.000
Zr1 Zr 0.250 0.250 0.250
Cr1 Cr 0.125 0.125 0.625

No. 3
# Ca2ZrCr, relaxed, DFT PBE
# calculated total energy	-4.911	eV/atom
# calculated volume	105.25	Å³/cell
# ΔE_f	0.633	eV per atom
data_Ca2ZrCr
_cell_length_a 4.499
_cell_length_b 4.499
_cell_length_c 5.199
_cell_angle_alpha 90.00
_cell_angle_beta 90.00
_cell_angle_gamma 90.00
_space_group_name_H-M_alt 'P 4/m m m'
_space_group_IT_number 123
_space_group_name_Hall '-P 4 2'
loop_
_atom_site_label
_atom_site_type_symbol
_atom_site_fract_x
_atom_site_fract_y
_atom_site_fract_z
Ca1 Ca 0.000 0.500 0.000
Zr1 Zr 0.000 0.000 0.500
Cr1 Cr 0.500 0.500 0.500

No. 4
# Ca2ZrCr, relaxed, DFT PBE
# calculated total energy	-4.858	eV/atom
# calculated volume	111.71	Å³/cell
# ΔE_f	0.686	eV per atom
data_Ca2ZrCr
_cell_length_a 5.436
_cell_length_b 5.436
_cell_length_c 3.781
_cell_angle_alpha 90.00
_cell_angle_beta 90.00
_cell_angle_gamma 90.00
_space_group_name_H-M_alt 'P 4/m m m'
_space_group_IT_number 123
_space_group_name_Hall '-P 4 2'
loop_
_atom_site_label
_atom_site_type_symbol
_atom_site_fract_x
_atom_site_fract_y
_atom_site_fract_z
Ca1 Ca 0.000 0.500 0.000
Zr1 Zr 0.000 0.000 0.500
Cr1 Cr 0.500 0.500 0.500

No. 5
# CaZrCr3, relaxed, DFT PBE
# calculated total energy	-6.638	eV/atom
# calculated volume	120.80	Å³/cell
# ΔE_f	1.246	eV per atom
data_CaZrCr3
_cell_length_a 4.943
_cell_length_b 4.943
_cell_length_c 4.943
_cell_angle_alpha 90.00
_cell_angle_beta 90.00
_cell_angle_gamma 90.00
_space_group_name_H-M_alt 'P m -3 m'
_space_group_IT_number 221
_space_group_name_Hall '-P 4 2 3'
loop_
_atom_site_label
_atom_site_type_symbol
_atom_site_fract_x
_atom_site_fract_y
_atom_site_fract_z
Ca1 Ca 0.000 0.000 0.000
Zr1 Zr 0.500 0.500 0.500
Cr1 Cr 0.000 0.500 0.500

No. 6
# Ca2ZrCr, relaxed, DFT PBE
# calculated total energy	-4.937	eV/atom
# calculated volume	110.67	Å³/cell
# ΔE_f	0.607	eV per atom
data_Ca2ZrCr
_cell_length_a 3.372
_cell_length_b 3.372
_cell_length_c 9.734
_cell_angle_alpha 90.00
_cell_angle_beta 90.00
_cell_angle_gamma 90.00
_space_group_name_H-M_alt 'P 4/m m m'
_space_group_IT_number 123
_space_group_name_Hall '-P 4 2'
loop_
_atom_site_label
_atom_site_type_symbol
_atom_site_fract_x
_atom_site_fract_y
_atom_site_fract_z
Ca1 Ca 0.000 0.000 0.236
Zr1 Zr 0.500 0.500 0.500
Cr1 Cr 0.500 0.500 0.000

No. 7
# Ca2ZrCr, relaxed, DFT PBE
# calculated total energy	-4.913	eV/atom
# calculated volume	214.26	Å³/cell
# ΔE_f	0.631	eV per atom
data_Ca2ZrCr
_cell_length_a 4.571
_cell_length_b 4.571
_cell_length_c 10.253
_cell_angle_alpha 90.00
_cell_angle_beta 90.00
_cell_angle_gamma 90.00
_space_group_name_H-M_alt 'I 4/m m m'
_space_group_IT_number 139
_space_group_name_Hall '-I 4 2'
loop_
_atom_site_label
_atom_site_type_symbol
_atom_site_fract_x
_atom_site_fract_y
_atom_site_fract_z
Ca1 Ca 0.000 0.500 0.250
Zr1 Zr 0.000 0.000 0.000
Cr1 Cr 0.000 0.000 0.500

No. 8
# Ca2ZrCr, relaxed, DFT PBE
# calculated total energy	-5.073	eV/atom
# calculated volume	220.31	Å³/cell
# ΔE_f	0.470	eV per atom
data_Ca2ZrCr
_cell_length_a 3.543
_cell_length_b 5.675
_cell_length_c 10.958
_cell_angle_alpha 90.00
_cell_angle_beta 90.00
_cell_angle_gamma 90.00
_space_group_name_H-M_alt 'I m m 2'
_space_group_IT_number 44
loop_
_space_group_symop_operation_xyz
'x,y,z'
'-x,-y,z'
'-x,y,z'
'x,-y,z'
'x+1/2,y+1/2,z+1/2'
'-x+1/2,-y+1/2,z+1/2'
'-x+1/2,y+1/2,z+1/2'
'x+1/2,-y+1/2,z+1/2'
loop_
_atom_site_label
_atom_site_type_symbol
_atom_site_fract_x
_atom_site_fract_y
_atom_site_fract_z
Ca1 Ca 0.000 0.000 0.000
Ca2 Ca 0.000 0.500 0.210
Zr1 Zr 0.000 0.000 0.417
Cr1 Cr 0.000 0.500 0.736